No. 1
Density functional theory data (PBE) for an optimized crystal structure of NbBTe2I.

Computed properties:
E above lowest polymorph: 0.0 kJ/mol of formula units
M_tot: 2.3 Bohr magnetons per cell
Energy: -3.934 eV per atom
ΔE_f (raw): 982 meV/atom
Crystal system: tetragonal

Structure (POSCAR):
```
NbBTe2I
1.0
4.8148 0.0000 0.0000
0.0000 4.8148 0.0000
0.0000 0.0000 5.0155
Nb B Te I
1 1 2 1
Direct
0.0000 0.0000 0.0000 Nb
0.5000 0.5000 0.5000 B
0.0000 0.5000 0.5000 Te
0.5000 0.0000 0.5000 Te
0.5000 0.5000 0.0000 I
```



No. 2
Density functional theory data (PBE) for an optimized crystal structure of Nd3BI3.

Computed properties:
M_tot: 0.0 Bohr magnetons per cell
Energy: -4.626 eV per atom
ΔE_f (raw): -964 meV/atom
Crystal system: cubic

Structure (POSCAR):
```
Nd3BI3
1.0
-6.0817 6.0817 6.0817
6.0817 -6.0817 6.0817
6.0817 6.0817 -6.0817
Nd B I
12 4 12
Direct
0.0235 0.0471 0.2735 Nd
0.0235 0.4765 0.7500 Nd
0.0471 0.2735 0.0235 Nd
0.2265 0.2735 0.7500 Nd
0.2265 0.4529 0.4765 Nd
0.2735 0.0235 0.0471 Nd
0.2735 0.7500 0.2265 Nd
0.4529 0.4765 0.2265 Nd
0.4765 0.2265 0.4529 Nd
0.4765 0.7500 0.0235 Nd
0.7500 0.0235 0.4765 Nd
0.7500 0.2265 0.2735 Nd
0.0000 0.2500 0.5000 B
0.2500 0.2500 0.2500 B
0.2500 0.5000 0.0000 B
0.5000 0.0000 0.2500 B
0.2500 0.7601 0.7399 I
0.2500 0.9899 0.5101 I
0.5101 0.2500 0.9899 I
0.5101 0.7601 0.5202 I
0.5202 0.5101 0.7601 I
0.7399 0.2500 0.7601 I
0.7399 0.9899 0.9798 I
0.7601 0.5202 0.5101 I
0.7601 0.7399 0.2500 I
0.9798 0.7399 0.9899 I
0.9899 0.5101 0.2500 I
0.9899 0.9798 0.7399 I
```



No. 3
Density functional theory data (PBE) for an optimized crystal structure of NdBI.

Computed properties:
M_tot: 0.0 Bohr magnetons per cell
Energy: -4.490 eV per atom
ΔE_f (raw): -159 meV/atom
Crystal system: orthorhombic

Structure (POSCAR):
```
NdBI
1.0
4.5375 0.0000 0.0000
0.0000 4.8470 0.0000
0.0000 0.0000 17.0381
Nd B I
4 4 4
Direct
0.0000 0.0000 0.1129 Nd
0.0000 0.0000 0.8871 Nd
0.5000 0.5000 0.3871 Nd
0.5000 0.5000 0.6129 Nd
0.1662 0.5000 0.5000 B
0.3338 0.0000 0.0000 B
0.6662 0.0000 0.0000 B
0.8338 0.5000 0.5000 B
0.0000 0.0000 0.3231 I
0.0000 0.0000 0.6769 I
0.5000 0.5000 0.1769 I
0.5000 0.5000 0.8231 I
```